DFT (PBE) results for a geometry-optimized Pm2Ge5Os structure.

Lattice parameters (Å, degrees): 6.1613 6.1612 6.2667 119.45 119.45 90.00
Closest atoms and distances in Å follow each position.
Element x y z (fractional)
Pm  0.7677  0.2677  0.5354  10 Ge 3.08-3.21
Ge  0.7231  0.7231  0.0154  1 Os 2.49, 3 Ge 2.65-2.69
Os  0.9886  0.9886  0.9773  5 Ge 2.40-2.49
Ge  0.2922  0.2922  0.0154  1 Os 2.49, 3 Ge 2.65-2.69
Ge  0.2922  0.7231  0.0154  1 Os 2.49, 3 Ge 2.65-2.69
Pm  0.2677  0.7677  0.5354  10 Ge 3.08-3.21
Ge  0.7231  0.2922  0.0154  1 Os 2.49, 3 Ge 2.65-2.69
Ge  0.7222  0.7222  0.4444  1 Os 2.40

Results
- DOS at the Fermi energy: 0.4719 states/eV per atom
- Space-group type: No. 107
- Calculated density: 8.19 g/cm³
- Total moment: 0.0 μB/f.u.
- Volume: 21.4 Å³ per atom
- E_form: -254 kJ/mol of formula units